10
Lattice="9.329 0.000 0.000 0.000 9.329 0.000 0.000 0.000 3.729" Properties=species:S:1:pos:R:3 comment="Tb2SmHo2 | Alexandria | PBE | relaxed" relative_energy_mev_per_atom=0 delta_e_f_mev_per_atom=87 dft_energy_ev_per_atom=-4.5404 pbc="T T T"
Tb 1.182 5.846 0.000
Tb 5.846 8.147 0.000
Tb 3.483 1.182 0.000
Tb 8.147 3.483 0.000
Ho 6.258 1.594 1.864
Ho 7.735 6.258 1.864
Ho 3.071 7.735 1.864
Ho 1.594 3.071 1.864
Sm 0.000 0.000 0.000
Sm 4.664 4.664 0.000